The following is a PBE calculation of an optimized crystal structure of Al2IrPd2, from the Alexandria database.

Unit cell a=7.0076 b=7.0076 c=2.9988 alpha=90.00 beta=90.00 gamma=90.00
With the nearest neighbours (Å) after each atom.
Element x y z (fractional)
Ir1 0.0000 0.0000 0.0000  4 Al 2.66
Ir2 0.5000 0.5000 0.0000  4 Al 2.66
Al1 0.3485 0.8485 0.0000  6 Pd 2.49-2.58, 2 Ir 2.66
Al2 0.8485 0.6515 0.0000  6 Pd 2.49-2.58, 2 Ir 2.66
Al3 0.6515 0.1515 0.0000  6 Pd 2.49-2.58, 2 Ir 2.66
Al4 0.1515 0.3485 0.0000  6 Pd 2.49-2.58, 2 Ir 2.66
Pd1 0.1476 0.6476 0.5000  6 Al 2.49-2.58
Pd2 0.6476 0.8524 0.5000  6 Al 2.49-2.58
Pd3 0.8524 0.3524 0.5000  6 Al 2.49-2.58
Pd4 0.3524 0.1476 0.5000  6 Al 2.49-2.58

Summary:
The space group is P4/mbm. Its raw total energy is -5.90 eV/atom. The value obtained for the relative energy among the computed polymorphs is 246 meV/atom. The calculation puts the formation energy at -2.78 eV per formula unit. The size of the total moment comes out at 0.00 μB per formula unit.

=====

The following is a PBE calculation of an optimized crystal structure of Al8IrPd2, from the Alexandria database.

Unit cell a=4.2443 b=5.1668 c=8.8166 alpha=107.39 beta=103.93 gamma=90.00
With the nearest neighbours (Å) after each atom.
Element x y z (fractional)
Al1 0.4091 0.5246 0.8182  1 Ir 2.47, 1 Al 2.68
Al2 0.6496 0.0204 0.2991  1 Ir 2.53, 4 Al 2.68-2.83, 3 Pd 2.69-2.72
Al3 0.7654 0.6800 0.5308  4 Pd 2.63-2.78, 5 Al 2.76-2.84
Al4 0.9674 0.2159 0.9347  2 Ir 2.54, 1 Pd 2.65, 2 Al 2.79-2.80
Al5 0.2346 0.3200 0.4692  4 Pd 2.63-2.78, 5 Al 2.76-2.84
Al6 0.3504 0.9796 0.7009  1 Ir 2.53, 4 Al 2.68-2.83, 3 Pd 2.69-2.72
Al7 0.5909 0.4754 0.1818  1 Ir 2.47, 1 Al 2.68
Al8 0.0326 0.7841 0.0653  2 Ir 2.54, 1 Pd 2.65, 2 Al 2.79-2.80
Ir1 0.5000 0.0000 0.0000  8 Al 2.47-2.54
Pd1 0.8156 0.2453 0.6312  10 Al 2.63-2.78
Pd2 0.1844 0.7547 0.3688  10 Al 2.63-2.78

Summary:
The space group is C2/m. Its raw total energy is -5.01 eV/atom. The value obtained for the relative energy among the computed polymorphs is 0 meV/atom. The calculation puts the formation energy at -5.90 eV per formula unit. The size of the total moment comes out at 0.00 μB per formula unit.

=====

The following is a PBE calculation of an optimized crystal structure of Al6IrPd5, from the Alexandria database.

Unit cell a=4.3399 b=6.1377 c=7.4473 alpha=114.34 beta=105.02 gamma=90.00
With the nearest neighbours (Å) after each atom.
Element x y z (fractional)
Ir1 0.0000 0.0000 0.0000  8 Al 2.63-2.64
Al1 0.8380 0.5876 0.6706  1 Ir 2.63, 7 Pd 2.64-2.69
Al2 0.8380 0.0830 0.6706  1 Ir 2.63, 7 Pd 2.64-2.68
Al3 0.5000 0.7551 0.0000  2 Ir 2.64, 6 Pd 2.66-2.68
Al4 0.5000 0.2449 0.0000  2 Ir 2.64, 6 Pd 2.66-2.68
Al5 0.1620 0.9170 0.3294  1 Ir 2.63, 7 Pd 2.64-2.68
Al6 0.1620 0.4124 0.3294  1 Ir 2.63, 7 Pd 2.64-2.69
Pd1 0.6693 0.1685 0.3369  8 Al 2.64-2.67
Pd2 0.3413 0.3329 0.6659  8 Al 2.65-2.69
Pd3 0.0000 0.5000 0.0000  8 Al 2.65-2.68
Pd4 0.6587 0.6671 0.3341  8 Al 2.65-2.69
Pd5 0.3307 0.8315 0.6631  8 Al 2.64-2.67

Summary:
The space group is C2/m. Its raw total energy is -5.64 eV/atom. The calculation puts the formation energy at -10.38 eV per formula unit. The size of the total moment comes out at 0.00 μB per formula unit.

=====

The following is a PBE calculation of an optimized crystal structure of Al8IrPd2, from the Alexandria database.

Unit cell a=4.0098 b=7.0582 c=7.2639 alpha=119.07 beta=106.02 gamma=90.00
With the nearest neighbours (Å) after each atom.
Element x y z (fractional)
Al1 0.6619 0.8950 0.3238  3 Pd 2.60-2.69, 1 Ir 2.71, 5 Al 2.75-2.80
Al2 0.3381 0.5712 0.6762  3 Pd 2.60-2.69, 1 Ir 2.71, 5 Al 2.75-2.80
Al3 0.1508 0.1508 0.3017  2 Ir 2.71, 8 Al 2.75-2.79, 2 Pd 2.87
Al4 0.0000 0.2918 0.0000  2 Pd 2.60, 6 Al 2.75-2.80, 2 Ir 2.87
Al5 0.8492 0.8492 0.6983  2 Ir 2.71, 8 Al 2.75-2.79, 2 Pd 2.87
Al6 0.6619 0.4288 0.3238  3 Pd 2.60-2.69, 1 Ir 2.71, 5 Al 2.75-2.80
Al7 0.3381 0.1050 0.6762  3 Pd 2.60-2.69, 1 Ir 2.71, 5 Al 2.75-2.80
Al8 0.0000 0.7081 0.0000  2 Pd 2.60, 6 Al 2.75-2.80, 2 Ir 2.87
Ir1 0.5000 0.0000 0.0000  12 Al 2.71-2.87
Pd1 0.1783 0.6783 0.3567  10 Al 2.60-2.87
Pd2 0.8217 0.3217 0.6433  10 Al 2.60-2.87

Summary:
The space group is Immm. Its raw total energy is -4.96 eV/atom. The value obtained for the relative energy among the computed polymorphs is 53 meV/atom. The calculation puts the formation energy at -5.32 eV per formula unit. The size of the total moment comes out at 0.00 μB per formula unit.

=====

Q: The highest raw total energy belongs to which entry?
A: number 4